one.
Material: BeNbSe2Br
Method: DFT, PBE
State: optimized geometry

```
data_BeNbSe2Br
_chemical_formula_sum 'Be1 Nb1 Se2 Br1'
_cell_length_a 5.035
_cell_length_b 5.035
_cell_length_c 5.265
_cell_angle_alpha 90.00
_cell_angle_beta 90.00
_cell_angle_gamma 90.00
_space_group_name_H-M_alt 'P 4/m m m'
_space_group_IT_number 123
_space_group_name_Hall '-P 4 2'
loop_
_atom_site_label
_atom_site_fract_x
_atom_site_fract_y
_atom_site_fract_z
Be1 0.000 0.000 0.000
Nb1 0.500 0.500 0.500
Se1 0.000 0.500 0.500
Br1 0.500 0.500 0.000
```

***

two.
Material: BeNbSe2Br
Method: DFT, PBE
State: optimized geometry

```
data_BeNbSe2Br
_chemical_formula_sum 'Be1 Nb1 Se2 Br1'
_cell_length_a 4.641
_cell_length_b 4.641
_cell_length_c 4.598
_cell_angle_alpha 90.00
_cell_angle_beta 90.00
_cell_angle_gamma 90.00
_space_group_name_H-M_alt 'P 4/m m m'
_space_group_IT_number 123
_space_group_name_Hall '-P 4 2'
loop_
_atom_site_label
_atom_site_fract_x
_atom_site_fract_y
_atom_site_fract_z
Be1 0.000 0.000 0.000
Nb1 0.500 0.500 0.500
Se1 0.000 0.500 0.000
Br1 0.000 0.000 0.500
```

***

Relative energies, unit meV per atom: one 0; two 12

***

one.
Material: BeNiBr2
Method: DFT, PBE
State: optimized geometry

```
data_BeNiBr2
_chemical_formula_sum 'Be2 Ni2 Br4'
_cell_length_a 6.710
_cell_length_b 3.546
_cell_length_c 7.230
_cell_angle_alpha 90.00
_cell_angle_beta 94.19
_cell_angle_gamma 90.00
_space_group_name_H-M_alt 'C 1 m 1'
_space_group_IT_number 8
loop_
_space_group_symop_operation_xyz
'x,y,z'
'x,-y,z'
'x+1/2,y+1/2,z'
'x+1/2,-y+1/2,z'
loop_
_atom_site_label
_atom_site_fract_x
_atom_site_fract_y
_atom_site_fract_z
Be1 0.000 0.000 0.000
Ni1 0.185 0.500 0.893
Br1 0.093 0.500 0.195
Br2 0.338 0.000 0.719
```

***

two.
Material: BeNiBr2
Method: DFT, PBE
State: optimized geometry

```
data_BeNiBr2
_chemical_formula_sum 'Be4 Ni4 Br8'
_cell_length_a 6.645
_cell_length_b 6.645
_cell_length_c 6.645
_cell_angle_alpha 90.00
_cell_angle_beta 90.00
_cell_angle_gamma 90.00
_space_group_name_H-M_alt 'F -4 3 m'
_space_group_IT_number 216
_space_group_name_Hall 'F -4 2 3'
loop_
_atom_site_label
_atom_site_fract_x
_atom_site_fract_y
_atom_site_fract_z
Be1 0.000 0.000 0.000
Ni1 0.250 0.250 0.750
Br1 0.000 0.000 0.500
Br2 0.250 0.250 0.250
```

***

three.
Material: BeNiBr2
Method: DFT, PBE
State: optimized geometry

```
data_BeNiBr2
_chemical_formula_sum 'Be2 Ni2 Br4'
_cell_length_a 3.256
_cell_length_b 6.914
_cell_length_c 7.158
_cell_angle_alpha 90.00
_cell_angle_beta 90.00
_cell_angle_gamma 90.00
_space_group_name_H-M_alt 'I m m m'
_space_group_IT_number 71
_space_group_name_Hall '-I 2 2'
loop_
_atom_site_label
_atom_site_fract_x
_atom_site_fract_y
_atom_site_fract_z
Be1 0.000 0.000 0.000
Ni1 0.000 0.000 0.500
Br1 0.000 0.500 0.268
```

***

four.
Material: BeNiBr2
Method: DFT, PBE
State: optimized geometry

```
data_BeNiBr2
_chemical_formula_sum 'Be1 Ni1 Br2'
_cell_length_a 3.240
_cell_length_b 3.240
_cell_length_c 6.531
_cell_angle_alpha 90.00
_cell_angle_beta 90.00
_cell_angle_gamma 90.00
_space_group_name_H-M_alt 'P 4/m m m'
_space_group_IT_number 123
_space_group_name_Hall '-P 4 2'
loop_
_atom_site_label
_atom_site_fract_x
_atom_site_fract_y
_atom_site_fract_z
Be1 0.000 0.000 0.000
Ni1 0.000 0.000 0.500
Br1 0.500 0.500 0.243
```

***

Relative energies, unit meV per atom: one 0; two 1226; three 568; four 912

***

one.
Material: BeNiBr2
Method: DFT, PBE
State: optimized geometry

```
data_BeNiBr2
_chemical_formula_sum 'Be3 Ni3 Br6'
_cell_length_a 3.4669
_cell_length_b 3.4669
_cell_length_c 21.7600
_cell_angle_alpha 90.00
_cell_angle_beta 90.00
_cell_angle_gamma 120.00
_space_group_name_H-M_alt 'R -3 m'
_space_group_IT_number 166
_space_group_name_Hall '-R 3 2"'
loop_
_atom_site_label
_atom_site_fract_x
_atom_site_fract_y
_atom_site_fract_z
Be1 0.0000 0.0000 0.0000
Ni1 0.0000 0.0000 0.5000
Br1 0.0000 0.0000 0.3966
```

***

two.
Material: BeNiBr2
Method: DFT, PBE
State: optimized geometry

```
data_BeNiBr2
_chemical_formula_sum 'Be2 Ni2 Br4'
_cell_length_a 3.461
_cell_length_b 3.461
_cell_length_c 13.631
_cell_angle_alpha 90.00
_cell_angle_beta 90.00
_cell_angle_gamma 90.00
_space_group_name_H-M_alt 'I -4 m 2'
_space_group_IT_number 119
_space_group_name_Hall 'I -4 -2'
loop_
_atom_site_label
_atom_site_fract_x
_atom_site_fract_y
_atom_site_fract_z
Be1 0.000 0.000 0.000
Ni1 0.000 0.500 0.250
Br1 0.000 0.000 0.500
Br2 0.000 0.500 0.750
```

***

Relative energies, unit meV per atom: one 0; two 240

***

one.
Material: BeNiBr2
Method: DFT, PBE
State: optimized geometry

```
data_BeNiBr2
_chemical_formula_sum 'Be4 Ni4 Br8'
_cell_length_a 6.501
_cell_length_b 6.501
_cell_length_c 6.501
_cell_angle_alpha 90.00
_cell_angle_beta 90.00
_cell_angle_gamma 90.00
_space_group_name_H-M_alt 'F m -3 m'
_space_group_IT_number 225
_space_group_name_Hall '-F 4 2 3'
loop_
_atom_site_label
_atom_site_fract_x
_atom_site_fract_y
_atom_site_fract_z
Be1 0.000 0.000 0.000
Ni1 0.000 0.000 0.500
Br1 0.250 0.250 0.250
```

***

two.
Material: BeNiBr2
Method: DFT, PBE
State: optimized geometry

```
data_BeNiBr2
_chemical_formula_sum 'Be1 Ni1 Br2'
_cell_length_a 3.327
_cell_length_b 3.327
_cell_length_c 7.357
_cell_angle_alpha 90.00
_cell_angle_beta 90.00
_cell_angle_gamma 90.00
_space_group_name_H-M_alt 'P 4 m m'
_space_group_IT_number 99
loop_
_space_group_symop_operation_xyz
'x,y,z'
'-y,x,z'
'-x,-y,z'
'y,-x,z'
'-x,y,z'
'y,x,z'
'x,-y,z'
'-y,-x,z'
loop_
_atom_site_label
_atom_site_fract_x
_atom_site_fract_y
_atom_site_fract_z
Be1 0.000 0.000 0.000
Ni1 0.500 0.500 0.905
Br1 0.000 0.000 0.702
Br2 0.500 0.500 0.211
```

***

Relative energies, unit meV per atom: one 658; two 0

***

one.
Material: BeNiBr2
Method: DFT, PBE
State: optimized geometry

```
data_BeNiBr2
_chemical_formula_sum 'Be1 Ni1 Br2'
_cell_length_a 4.973
_cell_length_b 3.319
_cell_length_c 5.030
_cell_angle_alpha 90.00
_cell_angle_beta 91.20
_cell_angle_gamma 90.00
_space_group_name_H-M_alt 'P 1 2/m 1'
_space_group_IT_number 10
loop_
_space_group_symop_operation_xyz
'x,y,z'
'-x,-y,-z'
'-x,y,-z'
'x,-y,z'
loop_
_atom_site_label
_atom_site_fract_x
_atom_site_fract_y
_atom_site_fract_z
Be1 0.000 0.000 0.000
Ni1 0.500 0.000 0.500
Br1 0.235 0.500 0.236
```

***

two.
Material: BeNiBr2
Method: DFT, PBE
State: optimized geometry

```
data_BeNiBr2
_chemical_formula_sum 'Be1 Ni1 Br2'
_cell_length_a 4.311
_cell_length_b 3.502
_cell_length_c 6.252
_cell_angle_alpha 90.00
_cell_angle_beta 93.07
_cell_angle_gamma 90.00
_space_group_name_H-M_alt 'P 1 m 1'
_space_group_IT_number 6
loop_
_space_group_symop_operation_xyz
'x,y,z'
'x,-y,z'
loop_
_atom_site_label
_atom_site_fract_x
_atom_site_fract_y
_atom_site_fract_z
Be1 0.000 0.000 0.000
Ni1 0.692 0.500 0.030
Br1 0.010 0.500 0.755
Br2 0.417 0.000 0.222
```

***

three.
Material: BeNiBr2
Method: DFT, PBE
State: optimized geometry

```
data_BeNiBr2
_chemical_formula_sum 'Be2 Ni2 Br4'
_cell_length_a 6.880
_cell_length_b 6.859
_cell_length_c 4.917
_cell_angle_alpha 90.00
_cell_angle_beta 133.83
_cell_angle_gamma 90.00
_space_group_name_H-M_alt 'C 1 2/m 1'
_space_group_IT_number 12
loop_
_space_group_symop_operation_xyz
'x,y,z'
'-x,-y,-z'
'-x,y,-z'
'x,-y,z'
'x+1/2,y+1/2,z'
'-x+1/2,-y+1/2,-z'
'-x+1/2,y+1/2,-z'
'x+1/2,-y+1/2,z'
loop_
_atom_site_label
_atom_site_fract_x
_atom_site_fract_y
_atom_site_fract_z
Be1 0.000 0.000 0.000
Ni1 0.000 0.500 0.000
Br1 0.250 0.250 0.000
```

***

Relative energies, unit meV per atom: one 534; two 0; three 542

***

one.
Material: BeNiBr2
Method: DFT, PBE
State: optimized geometry

```
data_BeNiBr2
_chemical_formula_sum 'Be1 Ni1 Br2'
_cell_length_a 3.413
_cell_length_b 3.507
_cell_length_c 6.769
_cell_angle_alpha 90.00
_cell_angle_beta 90.00
_cell_angle_gamma 90.00
_space_group_name_H-M_alt 'P m m m'
_space_group_IT_number 47
loop_
_space_group_symop_operation_xyz
'x,y,z'
'-x,-y,-z'
'-x,-y,z'
'x,y,-z'
'x,-y,-z'
'-x,y,z'
'-x,y,-z'
'x,-y,z'
loop_
_atom_site_label
_atom_site_fract_x
_atom_site_fract_y
_atom_site_fract_z
Be1 0.000 0.000 0.000
Ni1 0.500 0.000 0.500
Br1 0.000 0.500 0.500
Br2 0.500 0.500 0.000
```

***

two.
Material: BeNiBr2
Method: DFT, PBE
State: optimized geometry

```
data_BeNiBr2
_chemical_formula_sum 'Be2 Ni2 Br4'
_cell_length_a 3.393
_cell_length_b 4.280
_cell_length_c 14.881
_cell_angle_alpha 90.00
_cell_angle_beta 90.00
_cell_angle_gamma 90.00
_space_group_name_H-M_alt 'I m m 2'
_space_group_IT_number 44
loop_
_space_group_symop_operation_xyz
'x,y,z'
'-x,-y,z'
'-x,y,z'
'x,-y,z'
'x+1/2,y+1/2,z+1/2'
'-x+1/2,-y+1/2,z+1/2'
'-x+1/2,y+1/2,z+1/2'
'x+1/2,-y+1/2,z+1/2'
loop_
_atom_site_label
_atom_site_fract_x
_atom_site_fract_y
_atom_site_fract_z
Be1 0.000 0.000 0.000
Ni1 0.000 0.500 0.406
Br1 0.000 0.000 0.357
Br2 0.000 0.500 0.597
```

***

Relative energies, unit meV per atom: one 516; two 0